Here is crystalline Pr5Ag4Rh at its relaxed geometry from Alexandria via LeMat-Bulk. Energies are from GGA-PBE.

Output
- Crystal system: tetragonal
- Magnetization: 0.00 μB per atom
- Space group: P4/mmm (123)
- E: -0.337 Ry per atom

The structure in POSCAR format:
```
Pr5Ag4Rh
1.0
3.6998 0.0000 0.0000
0.0000 3.6998 0.0000
0.0000 0.0000 19.0623
Pr Ag Rh
5 4 1
Direct
0.0000 0.0000 0.0000 Pr
0.0000 0.0000 0.2055 Pr
0.0000 0.0000 0.4117 Pr
0.0000 0.0000 0.5883 Pr
0.0000 0.0000 0.7945 Pr
0.5000 0.5000 0.1026 Ag
0.5000 0.5000 0.3059 Ag
0.5000 0.5000 0.6941 Ag
0.5000 0.5000 0.8974 Ag
0.5000 0.5000 0.5000 Rh
```